PmAl2Zn: relaxed, PBE.

Values from the calculation:
Space group: P4/mmm (123)
Final energy: -3.7016 eV per atom

a = 4.339 Å, b = 4.339 Å, c = 4.352 Å
α = 90.00°, β = 90.00°, γ = 90.00°
Element x y z (fractional)
Pm: 0.000 0.000 0.000
Al: 0.000 0.500 0.500
Al: 0.500 0.000 0.500
Zn: 0.500 0.500 0.000